Record 1
{"formula": "CdHg2", "functional": "PBE-GGA", "state": "relaxed", "volume_a3_per_atom": 24.62, "magnetic_moment_mub_per_cell": 0.00, "e_above_lowest_polymorph_ev_per_fu": 0.04, "formation_energy_ev_per_atom": 0.030, "cell": [[3.929, 0.000, 0.000], [0.000, 4.211, 0.000], [0.000, 0.000, 8.927]], "species": ["Cd", "Cd", "Hg", "Hg", "Hg", "Hg"], "fractional_positions": [[0.000, 0.000, 0.000], [0.500, 0.500, 0.500], [0.000, 0.000, 0.333], [0.000, 0.000, 0.667], [0.500, 0.500, 0.167], [0.500, 0.500, 0.833]]}



Record 2
{"formula": "Ni2Mo2Au", "functional": "PBE-GGA", "state": "relaxed", "volume_a3_per_atom": 14.33, "magnetic_moment_mub_per_cell": 0.00, "formation_energy_ev_per_atom": 0.133, "cell": [[7.256, 0.000, 0.000], [0.000, 7.256, 0.000], [0.000, 0.000, 2.722]], "species": ["Ni", "Ni", "Ni", "Ni", "Mo", "Mo", "Mo", "Mo", "Au", "Au"], "fractional_positions": [[0.120, 0.380, 0.000], [0.380, 0.880, 0.000], [0.620, 0.120, 0.000], [0.880, 0.620, 0.000], [0.173, 0.673, 0.500], [0.327, 0.173, 0.500], [0.673, 0.827, 0.500], [0.827, 0.327, 0.500], [0.000, 0.000, 0.000], [0.500, 0.500, 0.000]]}



Record 3
{"formula": "KTc3As2", "functional": "PBE-GGA", "state": "relaxed", "volume_a3_per_atom": 20.40, "magnetic_moment_mub_per_cell": 0.00, "formation_energy_ev_per_atom": -0.271, "cell": [[4.091, 0.000, 0.000], [-2.040, 6.164, 0.000], [-0.001, -3.356, 9.706]], "species": ["K", "K", "Tc", "Tc", "Tc", "Tc", "Tc", "Tc", "As", "As", "As", "As"], "fractional_positions": [[0.141, 0.281, 0.066], [0.859, 0.719, 0.934], [0.050, 0.100, 0.407], [0.270, 0.541, 0.574], [0.400, 0.800, 0.408], [0.600, 0.200, 0.592], [0.730, 0.459, 0.426], [0.950, 0.900, 0.593], [0.168, 0.336, 0.751], [0.470, 0.939, 0.755], [0.530, 0.061, 0.245], [0.832, 0.664, 0.249]]}



Record 4
{"formula": "K3MgCu", "functional": "PBE-GGA", "state": "relaxed", "volume_a3_per_atom": 50.21, "magnetic_moment_mub_per_cell": 0.00, "e_above_lowest_polymorph_ev_per_fu": 0.00, "formation_energy_ev_per_atom": 0.386, "cell": [[6.309, 0.000, 0.000], [0.000, 6.309, 0.000], [0.000, 0.000, 6.309]], "species": ["K", "K", "K", "Mg", "Cu"], "fractional_positions": [[0.000, 0.000, 0.500], [0.000, 0.500, 0.000], [0.500, 0.000, 0.000], [0.500, 0.500, 0.500], [0.000, 0.000, 0.000]]}



Record 5
{"formula": "PmNd2F", "functional": "PBE-GGA", "state": "relaxed", "volume_a3_per_atom": 27.53, "formation_energy_uncorrected_mev_per_atom": -1145, "magnetic_moment_mub_per_cell": 0.00, "cell": [[3.802, 0.000, 0.000], [-1.901, 3.292, 0.000], [0.000, 0.000, 26.394]], "species": ["Pm", "Pm", "Pm", "Nd", "Nd", "Nd", "Nd", "Nd", "Nd", "F", "F", "F"], "fractional_positions": [[0.000, 0.000, 0.000], [0.333, 0.667, 0.667], [0.667, 0.333, 0.333], [0.000, 0.000, 0.224], [0.000, 0.000, 0.776], [0.333, 0.667, 0.443], [0.333, 0.667, 0.890], [0.667, 0.333, 0.110], [0.667, 0.333, 0.557], [0.000, 0.000, 0.500], [0.333, 0.667, 0.167], [0.667, 0.333, 0.833]]}



Record 6
{"formula": "LiScInGa", "functional": "PBE-GGA", "state": "relaxed", "volume_a3_per_atom": 19.41, "magnetic_moment_mub_per_cell": 0.00, "e_above_lowest_polymorph_ev_per_fu": 0.17, "formation_energy_ev_per_atom": -0.375, "cell": [[6.772, 0.000, 0.000], [0.000, 6.772, 0.000], [0.000, 0.000, 6.772]], "species": ["Li", "Li", "Li", "Li", "Sc", "Sc", "Sc", "Sc", "In", "In", "In", "In", "Ga", "Ga", "Ga", "Ga"], "fractional_positions": [[0.000, 0.000, 0.000], [0.000, 0.500, 0.500], [0.500, 0.000, 0.500], [0.500, 0.500, 0.000], [0.000, 0.000, 0.500], [0.000, 0.500, 0.000], [0.500, 0.000, 0.000], [0.500, 0.500, 0.500], [0.250, 0.250, 0.250], [0.250, 0.750, 0.750], [0.750, 0.250, 0.750], [0.750, 0.750, 0.250], [0.250, 0.250, 0.750], [0.250, 0.750, 0.250], [0.750, 0.250, 0.250], [0.750, 0.750, 0.750]]}



Record 7
{"formula": "LiAc2InS5", "functional": "PBE-GGA", "state": "relaxed", "volume_a3_per_atom": 23.83, "formation_energy_uncorrected_mev_per_atom": -1612, "magnetic_moment_mub_per_cell": 0.00, "cell": [[2.087, -8.780, 0.000], [2.087, 8.780, 0.000], [0.000, 0.000, 11.705]], "species": ["Li", "Li", "Ac", "Ac", "Ac", "Ac", "In", "In", "S", "S", "S", "S", "S", "S", "S", "S", "S", "S"], "fractional_positions": [[0.225, 0.775, 0.500], [0.775, 0.225, 0.000], [0.121, 0.879, 0.792], [0.128, 0.872, 0.172], [0.872, 0.128, 0.672], [0.879, 0.121, 0.292], [0.416, 0.584, 0.964], [0.584, 0.416, 0.464], [0.033, 0.967, 0.553], [0.300, 0.700, 0.834], [0.305, 0.695, 0.138], [0.359, 0.641, 0.486], [0.489, 0.511, 0.772], [0.511, 0.489, 0.272], [0.641, 0.359, 0.986], [0.695, 0.305, 0.638], [0.700, 0.300, 0.334], [0.967, 0.033, 0.053]]}



Record 8
{"formula": "Zr2PbBr", "functional": "PBE-GGA", "state": "relaxed", "volume_a3_per_atom": 24.30, "formation_energy_uncorrected_mev_per_atom": -30, "magnetic_moment_mub_per_cell": 0.00, "cell": [[3.303, 0.000, 0.000], [0.000, 5.042, 0.000], [0.000, 0.000, 5.836]], "species": ["Zr", "Zr", "Pb", "Br"], "fractional_positions": [[0.000, 0.000, 0.000], [0.500, 0.000, 0.500], [0.000, 0.500, 0.500], [0.500, 0.500, 0.000]]}